## one
# PBE TlMo, optimized geometry
data_TlMo
_chemical_formula_sum 'Tl2 Mo2'
_cell_length_a 4.656
_cell_length_b 3.237
_cell_length_c 5.214
_cell_angle_alpha 90.00
_cell_angle_beta 90.00
_cell_angle_gamma 90.00
_symmetry_space_group_name_H-M 'P m m a'
_symmetry_Int_Tables_number 51
_symmetry_space_group_name_Hall '-P 2a 2a'
loop_
_atom_site_label
_atom_site_fract_x
_atom_site_fract_y
_atom_site_fract_z
Tl1 0.250 0.000 0.173
Mo1 0.250 0.500 0.632
# crystal system	orthorhombic
# total magnetization	0.0	μB/f.u.

***

## two
# PBE TlMo, optimized geometry
data_TlMo
_chemical_formula_sum 'Tl1 Mo1'
_cell_length_a 3.359
_cell_length_b 3.359
_cell_length_c 3.359
_cell_angle_alpha 90.00
_cell_angle_beta 90.00
_cell_angle_gamma 90.00
_symmetry_space_group_name_H-M 'P m -3 m'
_symmetry_Int_Tables_number 221
_symmetry_space_group_name_Hall '-P 4 2 3'
loop_
_atom_site_label
_atom_site_fract_x
_atom_site_fract_y
_atom_site_fract_z
Tl1 0.000 0.000 0.000
Mo1 0.500 0.500 0.500
# crystal system	cubic
# total magnetization	0.0	μB/f.u.

***

## three
# PBE TlMo, optimized geometry
data_TlMo
_chemical_formula_sum 'Tl2 Mo2'
_cell_length_a 4.7688
_cell_length_b 4.7688
_cell_length_c 5.5227
_cell_angle_alpha 90.00
_cell_angle_beta 90.00
_cell_angle_gamma 120.00
_symmetry_space_group_name_H-M 'P 63/m m c'
_symmetry_Int_Tables_number 194
_symmetry_space_group_name_Hall '-P 6c 2c'
loop_
_atom_site_label
_atom_site_fract_x
_atom_site_fract_y
_atom_site_fract_z
Tl1 0.3333 0.6667 0.2500
Mo1 0.3333 0.6667 0.7500
# crystal system	hexagonal
# total magnetization	0.9	μB/f.u.

***

## four
# PBE TlMo, optimized geometry
data_TlMo
_chemical_formula_sum 'Tl4 Mo4'
_cell_length_a 6.398
_cell_length_b 6.398
_cell_length_c 6.398
_cell_angle_alpha 90.00
_cell_angle_beta 90.00
_cell_angle_gamma 90.00
_symmetry_space_group_name_H-M 'F -4 3 m'
_symmetry_Int_Tables_number 216
_symmetry_space_group_name_Hall 'F -4 2 3'
loop_
_atom_site_label
_atom_site_fract_x
_atom_site_fract_y
_atom_site_fract_z
Tl1 0.000 0.000 0.000
Mo1 0.250 0.250 0.250
# crystal system	cubic
# total magnetization	3.0	μB/f.u.

***

Short version: four is the least stable of them.

***

## one
# PBE TlMo, optimized geometry
data_TlMo
_chemical_formula_sum 'Tl3 Mo3'
_cell_length_a 3.0795
_cell_length_b 3.0795
_cell_length_c 14.1765
_cell_angle_alpha 90.00
_cell_angle_beta 90.00
_cell_angle_gamma 120.00
_symmetry_space_group_name_H-M 'R -3 m'
_symmetry_Int_Tables_number 166
_symmetry_space_group_name_Hall '-R 3 2"'
loop_
_atom_site_label
_atom_site_fract_x
_atom_site_fract_y
_atom_site_fract_z
Tl1 0.0000 0.0000 0.0000
Mo1 0.0000 0.0000 0.5000
# crystal system	trigonal
# total magnetization	0.0	μB/f.u.

***

## two
# PBE TlMo, optimized geometry
data_TlMo
_chemical_formula_sum 'Tl4 Mo4'
_cell_length_a 4.217
_cell_length_b 4.217
_cell_length_c 8.645
_cell_angle_alpha 90.00
_cell_angle_beta 90.00
_cell_angle_gamma 90.00
_symmetry_space_group_name_H-M 'I 41/a m d'
_symmetry_Int_Tables_number 141
loop_
_symmetry_equiv_pos_as_xyz
'x,y,z'
'-x,-y,-z'
'-y+1/4,x+3/4,z+1/4'
'y+1/4,-x+3/4,-z+1/4'
'-x+1/2,-y,z+1/2'
'x+1/2,y,-z+1/2'
'y+1/4,-x+1/4,z+3/4'
'-y+1/4,x+1/4,-z+3/4'
'x,-y,-z'
'-x,y,z'
'-y+1/4,-x+1/4,-z+3/4'
'y+1/4,x+1/4,z+3/4'
'-x+1/2,y,-z+1/2'
'x+1/2,-y,z+1/2'
'y+1/4,x+3/4,-z+1/4'
'-y+1/4,-x+3/4,z+1/4'
'x+1/2,y+1/2,z+1/2'
'-x+1/2,-y+1/2,-z+1/2'
'-y+3/4,x+1/4,z+3/4'
'y+3/4,-x+1/4,-z+3/4'
'-x,-y+1/2,z'
'x,y+1/2,-z'
'y+3/4,-x+3/4,z+1/4'
'-y+3/4,x+3/4,-z+1/4'
'x+1/2,-y+1/2,-z+1/2'
'-x+1/2,y+1/2,z+1/2'
'-y+3/4,-x+3/4,-z+1/4'
'y+3/4,x+3/4,z+1/4'
'-x,y+1/2,-z'
'x,-y+1/2,z'
'y+3/4,x+1/4,-z+3/4'
'-y+3/4,-x+1/4,z+3/4'
loop_
_atom_site_label
_atom_site_fract_x
_atom_site_fract_y
_atom_site_fract_z
Tl1 0.000 0.250 0.375
Mo1 0.000 0.250 0.875
# crystal system	tetragonal
# total magnetization	0.0	μB/f.u.

***

Short version: two is the least stable of them.

***

## one
# PBE TlMo, optimized geometry
data_TlMo
_chemical_formula_sum 'Tl2 Mo2'
_cell_length_a 3.208
_cell_length_b 3.208
_cell_length_c 8.351
_cell_angle_alpha 90.00
_cell_angle_beta 90.00
_cell_angle_gamma 90.00
_symmetry_space_group_name_H-M 'P 4/n m m'
_symmetry_Int_Tables_number 129
loop_
_symmetry_equiv_pos_as_xyz
'x,y,z'
'-x,-y,-z'
'-y+1/2,x,z'
'y+1/2,-x,-z'
'-x+1/2,-y+1/2,z'
'x+1/2,y+1/2,-z'
'y,-x+1/2,z'
'-y,x+1/2,-z'
'x+1/2,-y,-z'
'-x+1/2,y,z'
'-y,-x,-z'
'y,x,z'
'-x,y+1/2,-z'
'x,-y+1/2,z'
'y+1/2,x+1/2,-z'
'-y+1/2,-x+1/2,z'
loop_
_atom_site_label
_atom_site_fract_x
_atom_site_fract_y
_atom_site_fract_z
Tl1 0.250 0.250 0.167
Mo1 0.250 0.250 0.578
# crystal system	tetragonal
# total magnetization	0.0	μB/f.u.

***

## two
# PBE TlMo, optimized geometry
data_TlMo
_chemical_formula_sum 'Tl8 Mo8'
_cell_length_a 10.422
_cell_length_b 10.422
_cell_length_c 3.147
_cell_angle_alpha 90.00
_cell_angle_beta 90.00
_cell_angle_gamma 90.00
_symmetry_space_group_name_H-M 'I 4/m'
_symmetry_Int_Tables_number 87
_symmetry_space_group_name_Hall '-I 4'
loop_
_atom_site_label
_atom_site_fract_x
_atom_site_fract_y
_atom_site_fract_z
Tl1 0.140 0.166 0.000
Mo1 0.027 0.642 0.500
# crystal system	tetragonal
# total magnetization	0.0	μB/f.u.

***

## three
# PBE TlMo, optimized geometry
data_TlMo
_chemical_formula_sum 'Tl6 Mo6'
_cell_length_a 8.4321
_cell_length_b 8.4321
_cell_length_c 4.6621
_cell_angle_alpha 90.00
_cell_angle_beta 90.00
_cell_angle_gamma 120.00
_symmetry_space_group_name_H-M 'P 63/m m c'
_symmetry_Int_Tables_number 194
_symmetry_space_group_name_Hall '-P 6c 2c'
loop_
_atom_site_label
_atom_site_fract_x
_atom_site_fract_y
_atom_site_fract_z
Tl1 0.1994 0.3988 0.2500
Mo1 0.1221 0.5610 0.7500
# crystal system	hexagonal
# total magnetization	0.0	μB/f.u.

***

## four
# PBE TlMo, optimized geometry
data_TlMo
_chemical_formula_sum 'Tl2 Mo2'
_cell_length_a 3.372
_cell_length_b 4.896
_cell_length_c 4.737
_cell_angle_alpha 90.00
_cell_angle_beta 90.00
_cell_angle_gamma 90.00
_symmetry_space_group_name_H-M 'C m m m'
_symmetry_Int_Tables_number 65
_symmetry_space_group_name_Hall '-C 2 2'
loop_
_atom_site_label
_atom_site_fract_x
_atom_site_fract_y
_atom_site_fract_z
Tl1 0.000 0.000 0.000
Mo1 0.000 0.500 0.500
# crystal system	orthorhombic
# total magnetization	0.0	μB/f.u.

***

Short version: four is the least stable of them.

***

## one
# PBE TlMo2, optimized geometry
data_TlMo2
_chemical_formula_sum 'Tl4 Mo8'
_cell_length_a 10.518
_cell_length_b 3.177
_cell_length_c 7.355
_cell_angle_alpha 90.00
_cell_angle_beta 113.96
_cell_angle_gamma 90.00
_symmetry_space_group_name_H-M 'C 1 2/m 1'
_symmetry_Int_Tables_number 12
_symmetry_space_group_name_Hall '-C 2y'
loop_
_atom_site_label
_atom_site_fract_x
_atom_site_fract_y
_atom_site_fract_z
Tl1 0.162 0.000 0.110
Mo1 0.019 0.500 0.721
Mo2 0.154 0.000 0.539
# crystal system	monoclinic
# total magnetization	0.0	μB/f.u.

***

## two
# PBE TlMo2, optimized geometry
data_TlMo2
_chemical_formula_sum 'Tl4 Mo8'
_cell_length_a 6.486
_cell_length_b 6.486
_cell_length_c 5.532
_cell_angle_alpha 90.00
_cell_angle_beta 90.00
_cell_angle_gamma 90.00
_symmetry_space_group_name_H-M 'I 4/m c m'
_symmetry_Int_Tables_number 140
_symmetry_space_group_name_Hall '-I 4 2c'
loop_
_atom_site_label
_atom_site_fract_x
_atom_site_fract_y
_atom_site_fract_z
Tl1 0.000 0.000 0.250
Mo1 0.124 0.376 0.000
# crystal system	tetragonal
# total magnetization	0.0	μB/f.u.

***

Short version: two is the least stable of them.

***

## one
# PBE TlMo2, optimized geometry
data_TlMo2
_chemical_formula_sum 'Tl4 Mo8'
_cell_length_a 3.248
_cell_length_b 14.092
_cell_length_c 4.955
_cell_angle_alpha 90.00
_cell_angle_beta 90.00
_cell_angle_gamma 90.00
_symmetry_space_group_name_H-M 'C m c m'
_symmetry_Int_Tables_number 63
_symmetry_space_group_name_Hall '-C 2c 2'
loop_
_atom_site_label
_atom_site_fract_x
_atom_site_fract_y
_atom_site_fract_z
Tl1 0.000 0.250 0.250
Mo1 0.000 0.069 0.750
Mo2 0.000 0.431 0.750
# crystal system	orthorhombic
# total magnetization	0.0	μB/f.u.

***

## two
# PBE TlMo2, optimized geometry
data_TlMo2
_chemical_formula_sum 'Tl4 Mo8'
_cell_length_a 10.596
_cell_length_b 3.223
_cell_length_c 6.797
_cell_angle_alpha 90.00
_cell_angle_beta 104.73
_cell_angle_gamma 90.00
_symmetry_space_group_name_H-M 'C 1 m 1'
_symmetry_Int_Tables_number 8
_symmetry_space_group_name_Hall 'C -2y'
loop_
_atom_site_label
_atom_site_fract_x
_atom_site_fract_y
_atom_site_fract_z
Tl1 0.000 0.000 0.000
Tl2 0.198 0.500 0.338
Mo1 0.093 0.000 0.624
Mo2 0.217 0.500 0.897
Mo3 0.382 0.000 0.646
Mo4 0.417 0.000 0.306
# crystal system	monoclinic
# total magnetization	0.0	μB/f.u.

***

Short version: two is the least stable of them.

***

## one
# PBE TlMo2, optimized geometry
data_TlMo2
_chemical_formula_sum 'Tl2 Mo4'
_cell_length_a 3.343
_cell_length_b 3.343
_cell_length_c 9.742
_cell_angle_alpha 90.00
_cell_angle_beta 90.00
_cell_angle_gamma 90.00
_symmetry_space_group_name_H-M 'I 4/m m m'
_symmetry_Int_Tables_number 139
_symmetry_space_group_name_Hall '-I 4 2'
loop_
_atom_site_label
_atom_site_fract_x
_atom_site_fract_y
_atom_site_fract_z
Tl1 0.000 0.000 0.000
Mo1 0.000 0.000 0.314
# crystal system	tetragonal
# total magnetization	0.0	μB/f.u.

***

## two
# PBE TlMo2, optimized geometry
data_TlMo2
_chemical_formula_sum 'Tl1 Mo2'
_cell_length_a 3.1451
_cell_length_b 3.1451
_cell_length_c 6.8055
_cell_angle_alpha 90.00
_cell_angle_beta 90.00
_cell_angle_gamma 120.00
_symmetry_space_group_name_H-M 'P -3 m 1'
_symmetry_Int_Tables_number 164
_symmetry_space_group_name_Hall '-P 3 2"'
loop_
_atom_site_label
_atom_site_fract_x
_atom_site_fract_y
_atom_site_fract_z
Tl1 0.0000 0.0000 0.0000
Mo1 0.3333 0.6667 0.3714
# crystal system	trigonal
# total magnetization	0.0	μB/f.u.

***

## three
# PBE TlMo2, optimized geometry
data_TlMo2
_chemical_formula_sum 'Tl2 Mo4'
_cell_length_a 4.7288
_cell_length_b 4.7288
_cell_length_c 5.5656
_cell_angle_alpha 90.00
_cell_angle_beta 90.00
_cell_angle_gamma 120.00
_symmetry_space_group_name_H-M 'P 63/m m c'
_symmetry_Int_Tables_number 194
_symmetry_space_group_name_Hall '-P 6c 2c'
loop_
_atom_site_label
_atom_site_fract_x
_atom_site_fract_y
_atom_site_fract_z
Tl1 0.3333 0.6667 0.2500
Mo1 0.0000 0.0000 0.0000
Mo2 0.3333 0.6667 0.7500
# crystal system	hexagonal
# total magnetization	0.4	μB/f.u.

***

Short version: three is the least stable of them.

***

## one
# PBE TlMo2, optimized geometry
data_TlMo2
_chemical_formula_sum 'Tl2 Mo4'
_cell_length_a 2.861
_cell_length_b 4.322
_cell_length_c 8.627
_cell_angle_alpha 90.00
_cell_angle_beta 90.00
_cell_angle_gamma 90.00
_symmetry_space_group_name_H-M 'I m m m'
_symmetry_Int_Tables_number 71
_symmetry_space_group_name_Hall '-I 2 2'
loop_
_atom_site_label
_atom_site_fract_x
_atom_site_fract_y
_atom_site_fract_z
Tl1 0.000 0.000 0.000
Mo1 0.000 0.000 0.332
# crystal system	orthorhombic
# total magnetization	0.0	μB/f.u.

***

## two
# PBE TlMo2, optimized geometry
data_TlMo2
_chemical_formula_sum 'Tl3 Mo6'
_cell_length_a 8.1609
_cell_length_b 8.1609
_cell_length_c 2.7950
_cell_angle_alpha 90.00
_cell_angle_beta 90.00
_cell_angle_gamma 120.00
_symmetry_space_group_name_H-M 'P -6 2 m'
_symmetry_Int_Tables_number 189
_symmetry_space_group_name_Hall 'P -6 -2'
loop_
_atom_site_label
_atom_site_fract_x
_atom_site_fract_y
_atom_site_fract_z
Tl1 0.0000 0.0000 0.0000
Tl2 0.3333 0.6667 0.5000
Mo1 0.0000 0.3149 0.5000
Mo2 0.0000 0.6489 0.0000
# crystal system	hexagonal
# total magnetization	0.0	μB/f.u.

***

Short version: two is the least stable of them.

***

## one
# PBE Tl2Mo, optimized geometry
data_Tl2Mo
_chemical_formula_sum 'Tl8 Mo4'
_cell_length_a 12.141
_cell_length_b 3.297
_cell_length_c 8.081
_cell_angle_alpha 90.00
_cell_angle_beta 114.63
_cell_angle_gamma 90.00
_symmetry_space_group_name_H-M 'C 1 2/m 1'
_symmetry_Int_Tables_number 12
_symmetry_space_group_name_Hall '-C 2y'
loop_
_atom_site_label
_atom_site_fract_x
_atom_site_fract_y
_atom_site_fract_z
Tl1 0.039 0.000 0.225
Tl2 0.161 0.500 0.626
Mo1 0.186 0.500 0.024
# crystal system	monoclinic
# total magnetization	0.0	μB/f.u.

***

## two
# PBE Tl2Mo, optimized geometry
data_Tl2Mo
_chemical_formula_sum 'Tl4 Mo2'
_cell_length_a 3.169
_cell_length_b 3.914
_cell_length_c 10.697
_cell_angle_alpha 90.00
_cell_angle_beta 90.00
_cell_angle_gamma 90.00
_symmetry_space_group_name_H-M 'I m m m'
_symmetry_Int_Tables_number 71
_symmetry_space_group_name_Hall '-I 2 2'
loop_
_atom_site_label
_atom_site_fract_x
_atom_site_fract_y
_atom_site_fract_z
Tl1 0.000 0.000 0.150
Mo1 0.000 0.000 0.500
# crystal system	orthorhombic
# total magnetization	0.0	μB/f.u.

***

## three
# PBE Tl2Mo, optimized geometry
data_Tl2Mo
_chemical_formula_sum 'Tl8 Mo4'
_cell_length_a 10.680
_cell_length_b 3.281
_cell_length_c 8.882
_cell_angle_alpha 90.00
_cell_angle_beta 105.08
_cell_angle_gamma 90.00
_symmetry_space_group_name_H-M 'C 1 m 1'
_symmetry_Int_Tables_number 8
_symmetry_space_group_name_Hall 'C -2y'
loop_
_atom_site_label
_atom_site_fract_x
_atom_site_fract_y
_atom_site_fract_z
Tl1 0.000 0.000 0.000
Tl2 0.083 0.000 0.418
Tl3 0.283 0.500 0.243
Tl4 0.403 0.000 0.651
Mo1 0.188 0.500 0.729
Mo2 0.251 0.000 0.932
# crystal system	monoclinic
# total magnetization	0.0	μB/f.u.

***

## four
# PBE Tl2Mo, optimized geometry
data_Tl2Mo
_chemical_formula_sum 'Tl4 Mo2'
_cell_length_a 3.013
_cell_length_b 3.013
_cell_length_c 15.208
_cell_angle_alpha 90.00
_cell_angle_beta 90.00
_cell_angle_gamma 90.00
_symmetry_space_group_name_H-M 'I 4/m m m'
_symmetry_Int_Tables_number 139
_symmetry_space_group_name_Hall '-I 4 2'
loop_
_atom_site_label
_atom_site_fract_x
_atom_site_fract_y
_atom_site_fract_z
Tl1 0.000 0.000 0.150
Mo1 0.000 0.000 0.500
# crystal system	tetragonal
# total magnetization	0.0	μB/f.u.

***

Short version: two is the least stable of them.